Record 1
## Mn2OsCl8 (PBE)

Data for a relaxed Mn2OsCl8 crystal.

Calculated values
E_form (uncorrected)   -714 meV/atom
Total energy   -4.745 eV/atom

Cell: 8.1545 8.1545 6.1726 Å, 91.83 91.83 50.64°
Last column: nearest neighbours and their distance in Å.
Fractional coordinates of all 11 atoms:
Mn 0.1511 0.1511 0.4429  4 Cl 2.23-2.42
Mn 0.8489 0.8489 0.5571  4 Cl 2.23-2.42
Os 0.0000 0.0000 0.0000  6 Cl 2.33-2.37
Cl 0.1381 0.1381 0.8271  1 Os 2.33, 1 Mn 2.39
Cl 0.1743 0.7079 0.7546  1 Os 2.37, 1 Mn 2.42
Cl 0.2921 0.8257 0.2454  1 Os 2.37, 1 Mn 2.42
Cl 0.2984 0.2984 0.3752  1 Mn 2.23
Cl 0.7016 0.7016 0.6248  1 Mn 2.23
Cl 0.7079 0.1743 0.7546  1 Os 2.37, 1 Mn 2.42
Cl 0.8257 0.2921 0.2454  1 Os 2.37, 1 Mn 2.42
Cl 0.8619 0.8619 0.1729  1 Os 2.33, 1 Mn 2.39

Record 2
## Zr2SiSb (PBE)

Data for a relaxed Zr2SiSb crystal.

Calculated values
Energy relative to the lowest polymorph listed for this composition   0.649 eV per atom
E_form (uncorrected)   -25 meV/atom
Total energy   -6.685 eV/atom

Cell: 3.1023 3.1023 9.3786 Å, 90.00 90.00 90.00°
Last column: nearest neighbours and their distance in Å.
Fractional coordinates of all 4 atoms:
Zr 0.0000 0.0000 0.0000  4 Si 2.88, 4 Zr 3.10
Zr 0.5000 0.5000 0.2567  8 Zr 3.10-3.26, 4 Sb 3.20
Si 0.5000 0.5000 0.8018  4 Zr 2.88, 4 Si 3.10
Sb 0.0000 0.0000 0.5045  4 Sb 3.10, 4 Zr 3.20

Record 3
## Ce4Sb8Ru (PBE)

Data for a relaxed Ce4Sb8Ru crystal.

Calculated values
E_form (uncorrected)   -687 meV/atom
Total energy   -5.763 eV/atom

Cell: 4.4444 4.5750 17.2161 Å, 90.00 90.00 90.00°
Last column: nearest neighbours and their distance in Å.
Fractional coordinates of all 13 atoms:
Ce 0.0000 0.0000 0.0000  10 Sb 3.24-3.57
Ce 0.0000 0.5000 0.2017  10 Sb 3.26-3.64
Ce 0.5000 0.0000 0.4892  10 Sb 3.23-3.40
Ce 0.5000 0.5000 0.7039  8 Sb 3.38-3.56, 4 Ru 3.50
Sb 0.0000 0.0000 0.3441  4 Sb 3.19, 4 Ce 3.34-3.35
Sb 0.0000 0.0000 0.6387  1 Ru 2.57
Sb 0.0000 0.5000 0.5176  2 Sb 3.09, 4 Ce 3.23
Sb 0.0000 0.5000 0.8609  2 Ru 2.61
Sb 0.5000 0.0000 0.1624  2 Sb 3.18, 4 Ce 3.26
Sb 0.5000 0.0000 0.8626  2 Ru 2.57
Sb 0.5000 0.5000 0.0343  2 Sb 3.18, 4 Ce 3.24
Sb 0.5000 0.5000 0.3451  4 Sb 3.19, 4 Ce 3.32-3.37
Ru 0.0000 0.0000 0.7880  5 Sb 2.57-2.61

Record 4
## AcMgInPd3 (PBE)

Data for a relaxed AcMgInPd3 crystal.

Calculated values
Calculated formation energy   -0.465 eV per atom
Total energy   -4.469 eV/atom

Cell: 7.5893 7.5893 6.4286 Å, 90.00 90.00 133.74°
Last column: nearest neighbours and their distance in Å.
Fractional coordinates of all 12 atoms:
Ac 0.1641 0.8359 0.7500  6 Pd 2.98-3.14, 1 In 3.23, 2 Mg 3.24
Ac 0.8359 0.1641 0.2500  6 Pd 2.98-3.14, 1 In 3.23, 2 Mg 3.24
Mg 0.1328 0.8672 0.2500  5 Pd 2.83-2.89, 2 In 3.01
Mg 0.8672 0.1328 0.7500  5 Pd 2.83-2.89, 2 In 3.01
In 0.3956 0.6044 0.7500  4 Pd 2.68
In 0.6044 0.3956 0.2500  4 Pd 2.68
Pd 0.2374 0.2374 0.0000  2 In 2.68, 1 Pd 2.83, 2 Mg 2.83
Pd 0.2374 0.2374 0.5000  2 In 2.68, 1 Pd 2.83, 2 Mg 2.83
Pd 0.3401 0.6599 0.2500  1 Mg 2.89, 2 Ac 2.98, 4 Pd 3.16
Pd 0.6599 0.3401 0.7500  1 Mg 2.89, 2 Ac 2.98, 4 Pd 3.16
Pd 0.7626 0.7626 0.0000  2 In 2.68, 1 Pd 2.83, 2 Mg 2.83
Pd 0.7626 0.7626 0.5000  2 In 2.68, 1 Pd 2.83, 2 Mg 2.83